# 1
# Ba2Bi6Pd3, optimized geometry, DFT PBE-GGA
# electronic total energy	-47.49	eV per cell
data_Ba2Bi6Pd3
_symmetry_space_group_name_H-M 'P -6 2 m'
_symmetry_Int_Tables_number 189
_symmetry_space_group_name_Hall 'P -6 -2'
_cell_length_a 8.7946
_cell_length_b 8.7946
_cell_length_c 5.0302
_cell_angle_alpha 90.00
_cell_angle_beta 90.00
_cell_angle_gamma 120.00
loop_
_atom_site_label
_atom_site_type_symbol
_atom_site_fract_x
_atom_site_fract_y
_atom_site_fract_z
Ba1 Ba 0.3333 0.6667 0.0000
Bi1 Bi 0.0000 0.2107 0.0000
Bi2 Bi 0.0000 0.6625 0.5000
Pd1 Pd 0.0000 0.3449 0.5000

# 2
# Ba2ReIr, optimized geometry, DFT PBE-GGA
# polymorph energy (0 for the lowest one)	1239	meV per atom
# electronic total energy	-39.47	eV per cell
data_Ba2ReIr
_symmetry_space_group_name_H-M 'C 1 2/m 1'
_symmetry_Int_Tables_number 12
_cell_length_a 10.2268
_cell_length_b 3.1553
_cell_length_c 6.2541
_cell_angle_alpha 90.00
_cell_angle_beta 93.32
_cell_angle_gamma 90.00
loop_
_symmetry_equiv_pos_as_xyz
'x,y,z'
'-x,-y,-z'
'-x,y,-z'
'x,-y,z'
'x+1/2,y+1/2,z'
'-x+1/2,-y+1/2,-z'
'-x+1/2,y+1/2,-z'
'x+1/2,-y+1/2,z'
loop_
_atom_site_label
_atom_site_type_symbol
_atom_site_fract_x
_atom_site_fract_y
_atom_site_fract_z
Ba1 Ba 0.2477 0.0000 0.2440
Re1 Re 0.0000 0.0000 0.5000
Ir1 Ir 0.0000 0.5000 0.0000

# 3
# DyYCo4, optimized geometry, DFT PBE-GGA
# electronic total energy	-162.59	eV per cell
data_DyYCo4
_symmetry_space_group_name_H-M 'F -4 3 m'
_symmetry_Int_Tables_number 216
_symmetry_space_group_name_Hall 'F -4 2 3'
_cell_length_a 7.1780
_cell_length_b 7.1780
_cell_length_c 7.1780
_cell_angle_alpha 90.00
_cell_angle_beta 90.00
_cell_angle_gamma 90.00
loop_
_atom_site_label
_atom_site_type_symbol
_atom_site_fract_x
_atom_site_fract_y
_atom_site_fract_z
Dy1 Dy 0.0000 0.0000 0.0000
Y1 Y 0.2500 0.2500 0.2500
Co1 Co 0.1252 0.1252 0.6252